# Li4MnP2O8 | Alexandria via LeMat-Bulk | SCAN | single point on PBEsol structure
data_Li4MnP2O8
_symmetry_space_group_name_H-M 'P -1'
_symmetry_Int_Tables_number 2
_cell_length_a 4.944
_cell_length_b 5.144
_cell_length_c 6.151
_cell_angle_alpha 93.91
_cell_angle_beta 94.14
_cell_angle_gamma 98.24
loop_
_symmetry_equiv_pos_as_xyz
'x,y,z'
'-x,-y,-z'
loop_
_atom_site_label
_atom_site_fract_x
_atom_site_fract_y
_atom_site_fract_z
Li1 0.145 0.382 0.292
Li2 0.347 0.706 0.986
Mn1 0.500 0.000 0.500
P1 0.132 0.179 0.770
O1 0.180 0.802 0.255
O2 0.196 0.891 0.756
O3 0.258 0.324 0.990
O4 0.274 0.310 0.579
# - E above lowest polymorph (meV per atom) = 43
# - raw total energy (eV per cell) = -136.23
# - total magnetization (μB/f.u.) = 5.000
# - formation energy from raw total energies (eV per formula unit) = -37.8
# - mass density (g/cm³) = 2.9
# - calculated volume (Å³ per cell) = 154

# Li3MnP2O8 | Alexandria via LeMat-Bulk | SCAN | single point on PBEsol structure
data_Li3MnP2O8
_symmetry_space_group_name_H-M 'C 1 2/m 1'
_symmetry_Int_Tables_number 12
_cell_length_a 7.983
_cell_length_b 5.423
_cell_length_c 6.193
_cell_angle_alpha 90.00
_cell_angle_beta 90.18
_cell_angle_gamma 90.00
loop_
_symmetry_equiv_pos_as_xyz
'x,y,z'
'-x,-y,-z'
'-x,y,-z'
'x,-y,z'
'x+1/2,y+1/2,z'
'-x+1/2,-y+1/2,-z'
'-x+1/2,y+1/2,-z'
'x+1/2,-y+1/2,z'
loop_
_atom_site_label
_atom_site_fract_x
_atom_site_fract_y
_atom_site_fract_z
Li1 0.000 0.000 0.000
Li2 0.176 0.500 0.770
Mn1 0.000 0.000 0.500
P1 0.151 0.500 0.259
O1 0.032 0.271 0.267
O2 0.236 0.000 0.534
O3 0.243 0.000 0.941
# - E above lowest polymorph (meV per atom) = 11
# - raw total energy (eV per cell) = -262.29
# - total magnetization (μB/f.u.) = 4.000
# - formation energy from raw total energies (eV per formula unit) = -35.1
# - mass density (g/cm³) = 3.3
# - calculated volume (Å³ per cell) = 268

# LiMn2P3O12 | Alexandria via LeMat-Bulk | SCAN | single point on PBEsol structure
data_LiMn2P3O12
_symmetry_space_group_name_H-M 'C 1 2/c 1'
_symmetry_Int_Tables_number 15
_cell_length_a 11.683
_cell_length_b 12.026
_cell_length_c 6.112
_cell_angle_alpha 90.00
_cell_angle_beta 112.90
_cell_angle_gamma 90.00
loop_
_symmetry_equiv_pos_as_xyz
'x,y,z'
'-x,-y,-z'
'-x,y,-z+1/2'
'x,-y,z+1/2'
'x+1/2,y+1/2,z'
'-x+1/2,-y+1/2,-z'
'-x+1/2,y+1/2,-z+1/2'
'x+1/2,-y+1/2,z+1/2'
loop_
_atom_site_label
_atom_site_fract_x
_atom_site_fract_y
_atom_site_fract_z
Li1 0.000 0.000 0.000
Mn1 0.220 0.339 0.137
P1 0.000 0.223 0.750
P2 0.243 0.096 0.358
O1 0.054 0.297 0.976
O2 0.101 0.145 0.727
O3 0.109 0.074 0.285
O4 0.178 0.488 0.108
O5 0.193 0.336 0.409
O6 0.234 0.323 0.831
# - E above lowest polymorph (meV per atom) = 74
# - raw total energy (eV per cell) = -742.62
# - total magnetization (μB/f.u.) = 5.968
# - formation energy from raw total energies (eV per formula unit) = -40.8
# - mass density (g/cm³) = 3.4
# - calculated volume (Å³ per cell) = 791

# LiMn2P2O8 | Alexandria via LeMat-Bulk | SCAN | single point on PBEsol structure
data_LiMn2P2O8
_symmetry_space_group_name_H-M 'C 1 2 1'
_symmetry_Int_Tables_number 5
_cell_length_a 7.125
_cell_length_b 6.678
_cell_length_c 7.138
_cell_angle_alpha 90.00
_cell_angle_beta 92.14
_cell_angle_gamma 90.00
loop_
_symmetry_equiv_pos_as_xyz
'x,y,z'
'-x,y,-z'
'x+1/2,y+1/2,z'
'-x+1/2,y+1/2,-z'
loop_
_atom_site_label
_atom_site_fract_x
_atom_site_fract_y
_atom_site_fract_z
Li1 0.000 0.000 0.000
Mn1 0.000 0.525 0.000
Mn2 0.000 0.951 0.500
P1 0.238 0.245 0.751
O1 0.069 0.384 0.783
O2 0.072 0.860 0.240
O3 0.213 0.136 0.564
O4 0.249 0.095 0.922
# - E above lowest polymorph (meV per atom) = 62
# - raw total energy (eV per cell) = -280.17
# - total magnetization (μB/f.u.) = 0.807
# - formation energy from raw total energies (eV per formula unit) = -30.5
# - mass density (g/cm³) = 3.0
# - calculated volume (Å³ per cell) = 339

# LiMn2P2O8 | Alexandria via LeMat-Bulk | SCAN | single point on PBEsol structure
data_LiMn2P2O8
_symmetry_space_group_name_H-M 'P 1 c 1'
_symmetry_Int_Tables_number 7
_cell_length_a 5.228
_cell_length_b 5.953
_cell_length_c 10.496
_cell_angle_alpha 90.00
_cell_angle_beta 118.43
_cell_angle_gamma 90.00
loop_
_symmetry_equiv_pos_as_xyz
'x,y,z'
'x,-y,z+1/2'
loop_
_atom_site_label
_atom_site_fract_x
_atom_site_fract_y
_atom_site_fract_z
Li1 0.000 0.130 0.000
Mn1 0.077 0.378 0.721
Mn2 0.366 0.147 0.414
P1 0.541 0.105 0.687
P2 0.809 0.388 0.419
O1 0.371 0.085 0.775
O2 0.427 0.076 0.063
O3 0.445 0.320 0.590
O4 0.465 0.396 0.324
O5 0.856 0.167 0.506
O6 0.869 0.115 0.789
O7 0.918 0.422 0.030
O8 0.957 0.377 0.322
# - E above lowest polymorph (meV per atom) = 53
# - raw total energy (eV per cell) = -280.43
# - total magnetization (μB/f.u.) = 9.000
# - formation energy from raw total energies (eV per formula unit) = -30.7
# - mass density (g/cm³) = 3.5
# - calculated volume (Å³ per cell) = 287

# Li3Mn2P3O12 | Alexandria via LeMat-Bulk | SCAN | single point on PBEsol structure
data_Li3Mn2P3O12
_symmetry_space_group_name_H-M 'I a -3 d'
_symmetry_Int_Tables_number 230
_symmetry_space_group_name_Hall '-I 4bd 2c 3'
_cell_length_a 11.595
_cell_length_b 11.595
_cell_length_c 11.595
_cell_angle_alpha 90.00
_cell_angle_beta 90.00
_cell_angle_gamma 90.00
loop_
_atom_site_label
_atom_site_fract_x
_atom_site_fract_y
_atom_site_fract_z
Li1 0.000 0.250 0.125
Mn1 0.000 0.000 0.000
P1 0.000 0.250 0.375
O1 0.041 0.050 0.658
# - E above lowest polymorph (meV per atom) = 65
# - raw total energy (eV per cell) = -1582.42
# - total magnetization (μB/f.u.) = 8.000
# - formation energy from raw total energies (eV per formula unit) = -48.2
# - mass density (g/cm³) = 3.5
# - calculated volume (Å³ per cell) = 1559

# LiMn2P3O12 | Alexandria via LeMat-Bulk | SCAN | single point on PBEsol structure
data_LiMn2P3O12
_symmetry_space_group_name_H-M 'P 1 c 1'
_symmetry_Int_Tables_number 7
_cell_length_a 8.110
_cell_length_b 8.391
_cell_length_c 14.074
_cell_angle_alpha 90.00
_cell_angle_beta 125.08
_cell_angle_gamma 90.00
loop_
_symmetry_equiv_pos_as_xyz
'x,y,z'
'x,-y,z+1/2'
loop_
_atom_site_label
_atom_site_fract_x
_atom_site_fract_y
_atom_site_fract_z
Li1 0.000 0.040 0.000
Li2 0.377 0.353 0.485
Mn1 0.130 0.283 0.564
Mn2 0.364 0.277 0.289
Mn3 0.632 0.221 0.066
Mn4 0.867 0.224 0.796
P1 0.028 0.137 0.321
P2 0.257 0.364 0.828
P3 0.460 0.000 0.172
P4 0.546 0.497 0.192
P5 0.743 0.133 0.534
P6 0.966 0.369 0.037
O1 0.013 0.029 0.864
O2 0.113 0.323 0.862
O3 0.120 0.251 0.427
O4 0.161 0.323 0.700
O5 0.171 0.137 0.283
O6 0.182 0.311 0.133
O7 0.248 0.076 0.615
O8 0.284 0.452 0.342
O9 0.379 0.376 0.620
O10 0.454 0.270 0.906
O11 0.458 0.076 0.071
O12 0.490 0.118 0.264
O13 0.510 0.386 0.094
O14 0.543 0.421 0.290
O15 0.545 0.228 0.456
O16 0.621 0.128 0.738
O17 0.726 0.051 0.022
O18 0.751 0.423 0.746
O19 0.813 0.191 0.225
O20 0.823 0.365 0.075
O21 0.841 0.182 0.660
O22 0.888 0.169 0.498
O23 0.890 0.249 0.936
O24 0.978 0.465 0.496
# - E above lowest polymorph (meV per atom) = 0
# - raw total energy (eV per cell) = -747.96
# - total magnetization (μB/f.u.) = 6.012
# - formation energy from raw total energies (eV per formula unit) = -42.1
# - mass density (g/cm³) = 3.4
# - calculated volume (Å³ per cell) = 784

# Li3MnP2O8 | Alexandria via LeMat-Bulk | SCAN | single point on PBEsol structure
data_Li3MnP2O8
_symmetry_space_group_name_H-M 'P 1'
_symmetry_Int_Tables_number 1
_cell_length_a 7.907
_cell_length_b 8.321
_cell_length_c 10.217
_cell_angle_alpha 90.46
_cell_angle_beta 90.25
_cell_angle_gamma 105.78
loop_
_symmetry_equiv_pos_as_xyz
'x,y,z'
loop_
_atom_site_label
_atom_site_fract_x
_atom_site_fract_y
_atom_site_fract_z
Li1 0.000 0.000 0.000
Li2 0.000 0.499 0.641
Li3 0.022 0.054 0.505
Li4 0.128 0.395 0.391
Li5 0.160 0.455 0.920
Li6 0.161 0.940 0.720
Li7 0.203 0.947 0.253
Li8 0.329 0.637 0.217
Li9 0.699 0.922 0.897
Li10 0.701 0.428 0.737
Li11 0.853 0.118 0.205
Li12 0.853 0.617 0.421
Mn1 0.400 0.148 0.908
Mn2 0.403 0.641 0.726
Mn3 0.614 0.926 0.402
Mn4 0.629 0.419 0.218
P1 0.223 0.764 0.480
P2 0.241 0.268 0.150
P3 0.295 0.328 0.649
P4 0.310 0.839 0.983
P5 0.717 0.233 0.484
P6 0.720 0.732 0.149
P7 0.792 0.788 0.647
P8 0.799 0.290 0.971
O1 0.093 0.590 0.463
O2 0.098 0.102 0.173
O3 0.140 0.899 0.432
O4 0.190 0.414 0.215
O5 0.198 0.946 0.914
O6 0.201 0.447 0.726
O7 0.204 0.271 0.521
O8 0.252 0.797 0.121
O9 0.269 0.294 0.000
O10 0.281 0.790 0.626
O11 0.307 0.179 0.732
O12 0.314 0.685 0.900
O13 0.389 0.768 0.391
O14 0.418 0.247 0.210
O15 0.481 0.461 0.643
O16 0.493 0.972 0.973
O17 0.539 0.594 0.137
O18 0.541 0.092 0.498
O19 0.619 0.292 0.897
O20 0.626 0.791 0.735
O21 0.698 0.881 0.234
O22 0.700 0.378 0.396
O23 0.732 0.776 0.501
O24 0.762 0.289 0.122
O25 0.804 0.798 0.022
O26 0.806 0.301 0.612
O27 0.820 0.624 0.229
O28 0.823 0.124 0.405
O29 0.852 0.130 0.942
O30 0.852 0.634 0.680
O31 0.926 0.448 0.923
O32 0.933 0.951 0.673
# - E above lowest polymorph (meV per atom) = 35
# - raw total energy (eV per cell) = -523.22
# - total magnetization (μB/f.u.) = 4.000
# - formation energy from raw total energies (eV per formula unit) = -34.7
# - mass density (g/cm³) = 2.7
# - calculated volume (Å³ per cell) = 647